No. 1
Density functional theory data (PBE-GGA) for a relaxed ZrCrW2 crystal.

Output
Total moment in μB/f.u.: 0.00
Energy above the most stable polymorph in this dataset in eV/atom: 0.0542
Space-group type: Pmmm (47)
Formation energy in eV per atom: 0.175
D(E_F) in states/eV/atom: 1.0933

a b c (Å): 3.1903 4.4514 4.6123
angles (deg): 90.00 90.00 90.00
Element x y z (fractional)
W (0.5000, 0.5000, 0.0000)
Cr (0.0000, 0.5000, 0.5000)
Zr (0.5000, 0.0000, 0.5000)
W (0.0000, 0.0000, 0.0000)


No. 2
Density functional theory data (PBE-GGA) for a relaxed ZrCrW2 crystal.

Output
Total moment in μB/f.u.: 0.00
Energy above the most stable polymorph in this dataset in eV/atom: 0.1104
Space-group type: C2/m (12)
Formation energy in eV per atom: 0.231
D(E_F) in states/eV/atom: 0.9923

a b c (Å): 5.2989 5.2989 2.8063
angles (deg): 79.86 79.86 118.03
Element x y z (fractional)
Cr (0.0000, 0.5000, 0.5000)
W (0.0000, 0.0000, 0.0000)
W (0.5000, 0.5000, 0.0000)
Zr (0.5000, 0.0000, 0.5000)


No. 3
Density functional theory data (PBE-GGA) for a relaxed ZrCrW2 crystal.

Output
Total moment in μB/f.u.: 0.00
Energy above the most stable polymorph in this dataset in eV/atom: 0.3097
Space-group type: R-3m (166)
Formation energy in eV per atom: 0.430
D(E_F) in states/eV/atom: 1.1418

a b c (Å): 9.0544 9.0544 9.0544
angles (deg): 18.75 18.75 18.75
Element x y z (fractional)
W (0.4895, 0.4895, 0.4895)
Cr (0.7500, 0.7500, 0.7500)
Zr (0.2500, 0.2500, 0.2500)
W (0.0105, 0.0105, 0.0105)


No. 4
Density functional theory data (PBE-GGA) for a relaxed ZrCr2W crystal.

Output
Total moment in μB/f.u.: 0.00
Energy above the most stable polymorph in this dataset in eV/atom: 0.1095
Space-group type: Cmm2 (35)
Formation energy in eV per atom: 0.240
D(E_F) in states/eV/atom: 0.7350

a b c (Å): 2.7462 2.7462 8.6722
angles (deg): 90.00 90.00 111.25
Element x y z (fractional)
Cr (0.0000, 0.0000, 0.0318)
Zr (0.5000, 0.5000, 0.7630)
W (0.0000, 0.0000, 0.4715)
Cr (0.5000, 0.5000, 0.2338)


No. 5
Density functional theory data (PBE-GGA) for a relaxed ZrCrW2 crystal.

Output
Total moment in μB/f.u.: 0.00
Energy above the most stable polymorph in this dataset in eV/atom: 0.0603
Space-group type: P4/mmm (123)
Formation energy in eV per atom: 0.181
D(E_F) in states/eV/atom: 0.7887

a b c (Å): 3.0946 3.0946 6.8788
angles (deg): 90.00 90.00 90.00
Element x y z (fractional)
Zr (0.5000, 0.5000, 0.2500)
Cr (0.5000, 0.5000, 0.7500)
W (0.0000, 0.0000, 0.9632)
W (0.0000, 0.0000, 0.5368)


No. 6
Density functional theory data (PBE-GGA) for a relaxed ZrCrW2 crystal.

Output
Total moment in μB/f.u.: 0.00
Energy above the most stable polymorph in this dataset in eV/atom: 0.0015
Space-group type: Immm (71)
Formation energy in eV per atom: 0.122
D(E_F) in states/eV/atom: 0.7297

a b c (Å): 5.3443 5.3443 5.3443
angles (deg): 145.56 129.93 62.19
Element x y z (fractional)
Zr (0.7500, 0.2500, 0.5000)
W (0.0141, 0.0141, 0.0000)
Cr (0.2500, 0.7500, 0.5000)
W (0.4859, 0.4859, 0.0000)